The following is a PBE-GGA calculation of a relaxed structure of Ba12Bi6N, from Alexandria.

Computed properties:
crystal system: trigonal
D(E_F): 6.8 states/eV per cell
raw formation energy: -0.720 eV/atom

a b c (Å): 9.835 9.835 9.835
angles (deg): 98.26 98.26 98.26
Sites, in units of the cell vectors:
Ba 0.009 0.704 0.946
Ba 0.054 0.991 0.296
Ba 0.187 0.432 0.573
Ba 0.296 0.054 0.991
Ba 0.427 0.813 0.568
Ba 0.432 0.573 0.187
Ba 0.568 0.427 0.813
Ba 0.573 0.187 0.432
Ba 0.704 0.946 0.009
Ba 0.813 0.568 0.427
Ba 0.946 0.009 0.704
Ba 0.991 0.296 0.054
Bi 0.125 0.643 0.300
Bi 0.300 0.125 0.643
Bi 0.357 0.700 0.875
Bi 0.643 0.300 0.125
Bi 0.700 0.875 0.357
Bi 0.875 0.357 0.700
N 0.000 0.000 0.000


The following is a PBE-GGA calculation of a relaxed structure of BaNa2BiN, from Alexandria.

Computed properties:
crystal system: tetragonal
D(E_F): 4.1 states/eV per cell
raw formation energy: 0.584 eV/atom

a b c (Å): 5.946 5.946 4.716
angles (deg): 90.00 90.00 90.00
Sites, in units of the cell vectors:
Ba 0.000 0.000 0.000
Na 0.000 0.500 0.500
Na 0.500 0.000 0.500
Bi 0.500 0.500 0.500
N 0.500 0.500 0.000


Quick rundown of total magnetic moment, same order as above: 0.15 0.00 μB per atom
Quick rundown of volume, same order as above: 918 167 Å³ per cell